--- P ---
## Sn3BOs (PBE-GGA)

Data for a relaxed Sn3BOs crystal.

```
Sn3BOs
1.0
4.6435 0.0000 0.0000
0.0000 4.6435 0.0000
0.0000 0.0000 4.6435
Os Sn B
1 3 1
direct
0.5000 0.5000 0.5000
0.0000 0.5000 0.0000
0.0000 0.0000 0.5000
0.5000 0.0000 0.0000
0.0000 0.0000 0.0000
```

Summary:
Symmetry   Pm-3m



--- Q ---
## Sn3BOs (PBE-GGA)

Data for a relaxed Sn3BOs crystal.

```
Sn3BOs
1.0
-2.3199 4.1401 -1.9066
-3.5514 -2.9828 -2.1557
-2.8570 0.3461 4.2279
Sn Os B
3 1 1
direct
0.0000 0.0000 0.5000
0.0000 0.5000 0.0000
0.5000 0.0000 0.0000
0.0000 0.0000 0.0000
0.5000 0.5000 0.5000
```

Summary:
Symmetry   Pm-3m



The relative energies come out as P 4.5; Q 0.0, with values in kJ/mol of atoms.



--- P ---
## SnB2Os2 (PBE-GGA)

Data for a relaxed SnB2Os2 crystal.

```
SnB2Os2
1.0
3.9918 0.0000 0.0000
0.0000 3.9918 0.0000
1.9959 1.9959 3.9904
B Os Sn
2 2 1
direct
0.6137 0.6137 0.7726
0.3863 0.3863 0.2274
0.7500 0.2500 0.5000
0.2500 0.7500 0.5000
0.0000 0.0000 0.0000
```

Summary:
Symmetry   I4/mmm



--- Q ---
## SnB2Os2 (PBE-GGA)

Data for a relaxed SnB2Os2 crystal.

```
SnB2Os2
1.0
-0.8466 -6.7147 -0.3047
2.1635 -0.5630 6.3952
-2.6663 0.2941 0.9279
Os B Sn
4 4 2
direct
0.3572 0.8572 0.0000
0.8572 0.6428 0.0000
0.6428 0.1428 0.0000
0.1428 0.3572 0.0000
0.1244 0.6244 0.5000
0.8756 0.3756 0.5000
0.3756 0.1244 0.5000
0.6244 0.8756 0.5000
0.5000 0.5000 0.0000
0.0000 0.0000 0.0000
```

Summary:
Symmetry   P4/mbm



The relative energies come out as P 0.0; Q 41.3, with values in kJ/mol of atoms.



--- P ---
## SnBOs3 (PBE-GGA)

Data for a relaxed SnBOs3 crystal.

```
SnBOs3
1.0
4.8849 0.0000 0.0000
0.0000 4.8849 0.0000
0.0000 0.0000 4.8849
B Os Sn
1 3 1
direct
0.5000 0.5000 0.5000
0.0000 0.0000 0.5000
0.5000 0.0000 0.0000
0.0000 0.5000 0.0000
0.0000 0.0000 0.0000
```

Summary:
Symmetry   Pm-3m



--- Q ---
## SnBOs3 (PBE-GGA)

Data for a relaxed SnBOs3 crystal.

```
SnBOs3
1.0
-3.3990 0.6265 -2.3177
-2.0417 -2.8678 2.2190
-1.2631 2.9496 2.6498
Os B Sn
3 1 1
direct
0.0000 0.0000 0.5000
0.0000 0.5000 0.0000
0.5000 0.0000 0.0000
0.0000 0.0000 0.0000
0.5000 0.5000 0.5000
```

Summary:
Symmetry   Pm-3m



The relative energies come out as P 313.4; Q 0.0, with values in kJ/mol of atoms.